## Hf4RuRh3 (PBE-GGA)

Data for a geometry-optimized Hf4RuRh3 structure.

M_tot: 0.00 μB per cell
E_form: -6.78 eV/f.u.

abc: 4.5586 4.5586 7.4180
angles: 107.81 107.89 90.00
Last column: nearest neighbours and their distance in Å.
Sites, in units of the cell vectors:
1 Ru 0.5000 0.0000 0.0000  8 Hf 2.82
2 Hf 0.3757 0.3757 0.7513  6 Rh 2.81-2.85, 2 Ru 2.82
3 Hf 0.6243 0.6243 0.2487  6 Rh 2.81-2.85, 2 Ru 2.82
4 Hf 0.1243 0.1243 0.2487  6 Rh 2.81-2.86, 2 Ru 2.82
5 Hf 0.8757 0.8757 0.7513  6 Rh 2.81-2.86, 2 Ru 2.82
6 Rh 0.0000 0.5000 0.0000  8 Hf 2.82
7 Rh 0.7472 0.2471 0.4943  8 Hf 2.81-2.86
8 Rh 0.2528 0.7529 0.5057  8 Hf 2.81-2.86